# 1
{"formula": "MgZr6N", "functional": "PBE-GGA", "state": "optimized geometry", "space_group": "No. 2", "raw_formation_energy_mev_per_atom": -370, "lattice": [[5.2994, 0.0000, 0.0000], [-0.0324, 5.8460, 0.0000], [-2.2314, -0.9137, 5.4275]], "species": ["Mg", "Zr", "Zr", "Zr", "Zr", "Zr", "Zr", "N"], "fractional_positions": [[0.0000, 0.0000, 0.0000], [0.0918, 0.5999, 0.2762], [0.3155, 0.1745, 0.5526], [0.4486, 0.6985, 0.8420], [0.5514, 0.3015, 0.1580], [0.6845, 0.8255, 0.4474], [0.9082, 0.4001, 0.7238], [0.5000, 0.5000, 0.5000]]}

***

# 2
{"formula": "RbTe2Au2S6", "functional": "PBE-GGA", "state": "optimized geometry", "space_group": "No. 2", "raw_formation_energy_mev_per_atom": -111, "lattice": [[6.0753, 0.0000, 0.0000], [-1.9915, 7.8990, 0.0000], [-0.8755, -2.5175, 8.0244]], "species": ["Rb", "Te", "Te", "Au", "Au", "S", "S", "S", "S", "S", "S"], "fractional_positions": [[0.0000, 0.0000, 0.0000], [0.3113, 0.6219, 0.6847], [0.6887, 0.3781, 0.3153], [0.2232, 0.5690, 0.1176], [0.7768, 0.4310, 0.8824], [0.1016, 0.4192, 0.3096], [0.3670, 0.3446, 0.6715], [0.4129, 0.7673, 0.9839], [0.5871, 0.2327, 0.0161], [0.6330, 0.6554, 0.3285], [0.8984, 0.5808, 0.6904]]}

***

# 3
{"formula": "ZnCdSe2N", "functional": "PBE-GGA", "state": "optimized geometry", "polymorph_energy_mev_per_atom": 0.0, "space_group": "No. 123", "raw_formation_energy_mev_per_atom": 677, "lattice": [[5.2390, 0.0000, 0.0000], [0.0000, 5.2390, 0.0000], [0.0000, 0.0000, 3.7459]], "species": ["Zn", "Cd", "Se", "Se", "N"], "fractional_positions": [[0.0000, 0.0000, 0.0000], [0.5000, 0.5000, 0.5000], [0.0000, 0.5000, 0.0000], [0.5000, 0.0000, 0.0000], [0.0000, 0.0000, 0.5000]]}